Record 1
# AlCrIr2 PBE-GGA relaxed
data_AlCrIr2
_chemical_formula_sum 'Al4 Cr4 Ir8'
_symmetry_space_group_name_H-M 'F -4 3 m'
_symmetry_Int_Tables_number 216
_symmetry_space_group_name_Hall 'F -4 2 3'
_cell_length_a 6.0692
_cell_length_b 6.0692
_cell_length_c 6.0692
_cell_angle_alpha 90.00
_cell_angle_beta 90.00
_cell_angle_gamma 90.00
loop_
_atom_site_label
_atom_site_type_symbol
_atom_site_fract_x
_atom_site_fract_y
_atom_site_fract_z
Al1 Al 0.0000 0.0000 0.0000
Cr1 Cr 0.2500 0.2500 0.7500
Ir1 Ir 0.0000 0.0000 0.5000
Ir2 Ir 0.2500 0.2500 0.2500
# E_form = -0.061 eV/atom
# total magnetic moment = 2.6 μB/cell

Record 2
# RbBaHg2 PBE-GGA relaxed
data_RbBaHg2
_chemical_formula_sum 'Rb3 Ba3 Hg6'
_symmetry_space_group_name_H-M 'R -3 m'
_symmetry_Int_Tables_number 166
_symmetry_space_group_name_Hall '-R 3 2"'
_cell_length_a 4.8826
_cell_length_b 4.8826
_cell_length_c 27.1240
_cell_angle_alpha 90.00
_cell_angle_beta 90.00
_cell_angle_gamma 120.00
loop_
_atom_site_label
_atom_site_type_symbol
_atom_site_fract_x
_atom_site_fract_y
_atom_site_fract_z
Rb1 Rb 0.0000 0.0000 0.0000
Ba1 Ba 0.0000 0.0000 0.5000
Hg1 Hg 0.0000 0.0000 0.2430
# E_form = -0.251 eV/atom
# total magnetic moment = 0.0 μB/cell